Entry 1:
AlAgO3 | PBE | relaxed

Values from the calculation:
The calculation puts the uncorrected energy at -4.973 eV/atom.

abc: 3.460 3.460 5.599
angles: 90.00 90.00 90.00
Space group P4mm (No. 99)
Unique sites:
Al 0.000 0.000 0.000 (multiplicity 1)
Ag 0.500 0.500 0.374 (multiplicity 1)
O 0.000 0.500 0.094 (multiplicity 2)
O 0.500 0.500 0.725 (multiplicity 1)

Entry 2:
AlAgO3 | PBE | relaxed

Values from the calculation:
The calculation puts the uncorrected energy at -5.579 eV/atom.

abc: 5.1010 5.1010 14.1997
angles: 90.00 90.00 120.00
Space group R-3 (No. 148, hexagonal axes)
Unique sites:
Al 0.0000 0.0000 0.1548 (multiplicity 6)
Ag 0.0000 0.0000 0.3550 (multiplicity 6)
O 0.0167 0.3799 0.4300 (multiplicity 18)

Entry 3:
AlAgO3 | PBE | relaxed

Values from the calculation:
The calculation puts the uncorrected energy at -5.429 eV/atom.

abc: 3.690 3.690 3.722
angles: 90.00 90.00 90.00
Space group P4/mmm (No. 123)
Unique sites:
Al 0.000 0.000 0.000 (multiplicity 1)
Ag 0.500 0.500 0.500 (multiplicity 1)
O 0.000 0.000 0.500 (multiplicity 1)
O 0.000 0.500 0.000 (multiplicity 2)